(1)
Compound: Tb3Sc4In4
Source: Alexandria
Functional: PBE
Structure: relaxed

Output
* symmetry: Immm
* DOS at the Fermi energy: 11.7 states/eV/cell
* final energy: -4.845 eV per atom
* theoretical density: 6.39 g cm⁻³
* calculated formation energy: -0.28 eV per atom

a = 9.248 Å, b = 9.248 Å, c = 9.248 Å
α = 148.49°, β = 135.04°, γ = 55.93°
Positions (direct):
Tb  0.000  0.000  0.000
Tb  0.387  0.887  0.500
Tb  0.613  0.113  0.500
Sc  0.041  0.322  0.719
Sc  0.397  0.678  0.719
Sc  0.603  0.322  0.281
Sc  0.959  0.678  0.281
In  0.190  0.190  0.000
In  0.291  0.500  0.791
In  0.709  0.500  0.209
In  0.810  0.810  0.000



(2)
Compound: TbSc2In9
Source: Alexandria
Functional: PBE
Structure: relaxed

Output
* symmetry: P4/mmm
* DOS at the Fermi energy: 3.8 states/eV/cell
* final energy: -3.840 eV per atom
* theoretical density: 7.46 g cm⁻³
* calculated formation energy: -0.34 eV per atom

a = 4.568 Å, b = 4.568 Å, c = 13.682 Å
α = 90.00°, β = 90.00°, γ = 90.00°
Positions (direct):
Tb  0.000  0.000  0.000
Sc  0.000  0.000  0.336
Sc  0.000  0.000  0.664
In  0.000  0.500  0.173
In  0.000  0.500  0.500
In  0.000  0.500  0.827
In  0.500  0.000  0.173
In  0.500  0.000  0.500
In  0.500  0.000  0.827
In  0.500  0.500  0.000
In  0.500  0.500  0.335
In  0.500  0.500  0.665



(3)
Compound: Tb9Sc4In11
Source: Alexandria
Functional: PBE
Structure: relaxed

Output
* symmetry: Cmmm
* DOS at the Fermi energy: 21.3 states/eV/cell
* final energy: -4.432 eV per atom
* theoretical density: 7.68 g cm⁻³
* calculated formation energy: -0.38 eV per atom

a = 13.609 Å, b = 13.609 Å, c = 3.400 Å
α = 90.00°, β = 90.00°, γ = 99.43°
Positions (direct):
Tb  0.000  0.000  0.000
Tb  0.127  0.643  0.000
Tb  0.290  0.461  0.000
Tb  0.357  0.873  0.000
Tb  0.461  0.290  0.000
Tb  0.539  0.710  0.000
Tb  0.643  0.127  0.000
Tb  0.710  0.539  0.000
Tb  0.873  0.357  0.000
Sc  0.064  0.232  0.000
Sc  0.232  0.064  0.000
Sc  0.768  0.936  0.000
Sc  0.936  0.768  0.000
In  0.079  0.427  0.500
In  0.136  0.864  0.500
In  0.254  0.254  0.500
In  0.335  0.665  0.500
In  0.427  0.079  0.500
In  0.500  0.500  0.500
In  0.573  0.921  0.500
In  0.665  0.335  0.500
In  0.746  0.746  0.500
In  0.864  0.136  0.500
In  0.921  0.573  0.500



(4)
Compound: TbSc4In
Source: Alexandria
Functional: PBE
Structure: relaxed

Output
* symmetry: Cmcm
* energy relative to the lowest polymorph listed for this composition: 58.6 meV per atom
* DOS at the Fermi energy: 16.0 states/eV/cell
* final energy: -5.482 eV per atom
* theoretical density: 4.84 g cm⁻³
* calculated formation energy: -0.03 eV per atom

a = 9.546 Å, b = 9.546 Å, c = 6.762 Å
α = 90.00°, β = 90.00°, γ = 149.67°
Positions (direct):
Tb  0.123  0.877  0.750
Tb  0.877  0.123  0.250
Sc  0.062  0.938  0.250
Sc  0.334  0.666  0.533
Sc  0.334  0.666  0.967
Sc  0.500  0.500  0.000
Sc  0.500  0.500  0.500
Sc  0.666  0.334  0.033
Sc  0.666  0.334  0.467
Sc  0.938  0.062  0.750
In  0.218  0.782  0.250
In  0.782  0.218  0.750



Which value of theoretical density does entry 3 give?
7.68 g cm⁻³